# Ac2CeAgPd6

A relaxed structure of Ac2CeAgPd6 (PBE-GGA, Alexandria via LeMat-Bulk).

a = 7.1322 Å, b = 7.1322 Å, c = 7.1322 Å
α = 60.00°, β = 60.00°, γ = 90.00°
Closest atoms and distances in Å follow each position.
Element x y z (fractional)
Ac 0.2500 0.7500 0.5000  12 Pd 3.57
Ac 0.7500 0.2500 0.5000  12 Pd 3.57
Ce 0.5000 0.5000 0.0000  6 Pd 2.51
Ag 0.0000 0.0000 0.0000  6 Pd 2.54
Pd 0.2515 0.7485 0.0000  1 Ce 2.51, 1 Ag 2.54
Pd 0.7485 0.7485 0.0000  1 Ce 2.51, 1 Ag 2.54
Pd 0.2515 0.2515 0.4970  1 Ce 2.51, 1 Ag 2.54
Pd 0.7485 0.2515 0.0000  1 Ce 2.51, 1 Ag 2.54
Pd 0.2515 0.2515 0.0000  1 Ce 2.51, 1 Ag 2.54
Pd 0.7485 0.7485 0.5030  1 Ce 2.51, 1 Ag 2.54

Output
* V: 256.5 Å³/f.u.
* formation enthalpy at 0 K: -0.2038 eV per atom
* crystal system: cubic
* raw total energy: -50.20 eV for the cell shown
* D(E_F): 5.90 states/eV/f.u.